Entry 1:
This record from the Alexandria database describes TePbBr after structural relaxation. The functional is PBE.

Computed properties:
Space-group type ... P3m1 (156)
ΔE to the lowest computed polymorph ... 168 meV/atom

Lattice parameters (Å, degrees): 4.368 4.368 6.524 90.00 90.00 120.00
Element x y z (fractional)
Br: 0.000 0.000 0.046
Pb: 0.333 0.667 0.346
Te: 0.667 0.333 0.608

Entry 2:
This record from the Alexandria database describes TePb2Br after structural relaxation. The functional is PBE.

Computed properties:
Space-group type ... Fm-3m (225)
ΔE to the lowest computed polymorph ... 44 meV/atom

Lattice parameters (Å, degrees): 5.554 5.554 5.554 60.00 60.00 60.00
Element x y z (fractional)
Br: 0.000 0.000 0.000
Pb: 0.750 0.750 0.750
Pb: 0.250 0.250 0.250
Te: 0.500 0.500 0.500

Entry 3:
This record from the Alexandria database describes TePbBr4 after structural relaxation. The functional is PBE.

Computed properties:
Space-group type ... F-43m (216)

Lattice parameters (Å, degrees): 6.336 6.336 6.336 60.00 60.00 60.00
Each line ends with the local moment (μB).
Element x y z (fractional)
Br: 0.375 0.876 0.375  -0.13
Br: 0.375 0.375 0.375  -0.13
Br: 0.876 0.375 0.375  -0.13
Pb: 0.750 0.750 0.750  -0.02
Br: 0.375 0.375 0.876  -0.13
Te: 0.000 0.000 0.000  0.54

Entry 4:
This record from the Alexandria database describes Te2PbBr after structural relaxation. The functional is PBE.

Computed properties:
Space-group type ... Cmm2 (35)
ΔE to the lowest computed polymorph ... 362 meV/atom

Lattice parameters (Å, degrees): 4.019 4.019 10.034 90.00 90.00 124.30
Element x y z (fractional)
Te: 0.000 0.000 0.022
Te: 0.500 0.500 0.236
Br: 0.000 0.000 0.504
Pb: 0.500 0.500 0.738

Entry 5:
This record from the Alexandria database describes Te2PbBr after structural relaxation. The functional is PBE.

Computed properties:
Space-group type ... Cmmm (65)
ΔE to the lowest computed polymorph ... 335 meV/atom

Lattice parameters (Å, degrees): 6.835 6.835 3.415 90.00 90.00 128.04
Element x y z (fractional)
Pb: 0.000 0.500 0.500
Te: 0.500 0.500 0.000
Br: 0.500 0.000 0.500
Te: 0.000 0.000 0.000

Entry 6:
This record from the Alexandria database describes Te2Pb2Br after structural relaxation. The functional is PBE.

Computed properties:
Space-group type ... P4/mbm (127)
ΔE to the lowest computed polymorph ... 142 meV/atom

Lattice parameters (Å, degrees): 9.044 9.044 4.008 90.00 90.00 90.00
Element x y z (fractional)
Br: 0.000 0.000 0.000
Pb: 0.153 0.653 0.500
Te: 0.140 0.360 0.000
Te: 0.360 0.860 0.000
Pb: 0.347 0.153 0.500
Te: 0.640 0.140 0.000
Te: 0.860 0.640 0.000
Pb: 0.847 0.347 0.500
Br: 0.500 0.500 0.000
Pb: 0.653 0.847 0.500

Entry 7:
This record from the Alexandria database describes TePb2Br after structural relaxation. The functional is PBE.

Computed properties:
Space-group type ... P4/mmm (123)
ΔE to the lowest computed polymorph ... 38 meV/atom

Lattice parameters (Å, degrees): 3.945 3.945 7.937 90.00 90.00 89.99
Element x y z (fractional)
Pb: 0.000 0.000 0.480
Pb: 0.000 0.000 0.020
Te: 0.500 0.500 0.250
Br: 0.500 0.500 0.750

Entry 8:
This record from the Alexandria database describes TePbBr after structural relaxation. The functional is PBE.

Computed properties:
Space-group type ... P3m1 (156)
ΔE to the lowest computed polymorph ... 288 meV/atom

Lattice parameters (Å, degrees): 5.443 5.443 3.501 90.00 90.00 120.00
Element x y z (fractional)
Pb: 0.667 0.333 0.265
Te: 0.333 0.667 0.624
Br: 0.000 0.000 0.111

Entry 9:
This record from the Alexandria database describes Te2PbBr after structural relaxation. The functional is PBE.

Computed properties:
Space-group type ... Immm (71)
ΔE to the lowest computed polymorph ... 130 meV/atom

Lattice parameters (Å, degrees): 7.191 7.191 4.906 70.07 70.07 31.86
Element x y z (fractional)
Te: 0.982 0.982 0.018
Te: 0.518 0.518 0.482
Pb: 0.250 0.250 0.250
Br: 0.750 0.750 0.750

Entry 10:
This record from the Alexandria database describes TePb2Br after structural relaxation. The functional is PBE.

Computed properties:
Space-group type ... R3m (160)
ΔE to the lowest computed polymorph ... 20 meV/atom

Lattice parameters (Å, degrees): 4.202 4.202 9.222 76.83 76.83 60.00
Element x y z (fractional)
Br: 0.499 0.499 0.504
Pb: 0.254 0.254 0.239
Pb: 0.080 0.080 0.761
Te: 0.668 0.668 0.995

Entry 11:
This record from the Alexandria database describes Te5Pb6Br after structural relaxation. The functional is PBE.

Computed properties:
Space-group type ... C2/m (12)

Lattice parameters (Å, degrees): 7.892 7.892 8.290 99.20 99.20 120.20
Element x y z (fractional)
Te: 0.666 0.334 0.000
Pb: 0.425 0.084 0.253
Te: 0.169 0.831 0.500
Pb: 0.084 0.425 0.253
Te: 0.500 0.500 0.500
Pb: 0.258 0.258 0.748
Pb: 0.916 0.575 0.747
Pb: 0.742 0.742 0.252
Pb: 0.575 0.916 0.747
Br: 0.000 0.000 0.000
Te: 0.831 0.169 0.500
Te: 0.334 0.666 0.000

Entry 12:
This record from the Alexandria database describes TePbBr2 after structural relaxation. The functional is PBE.

Computed properties:
Space-group type ... Pm (6)
ΔE to the lowest computed polymorph ... 6 meV/atom

Lattice parameters (Å, degrees): 5.502 5.173 5.473 67.05 90.00 90.00
Element x y z (fractional)
Br: 0.000 0.007 0.119
Br: 0.500 0.475 0.171
Pb: 0.000 0.363 0.555
Te: 0.500 0.656 0.655

Entry 13:
This record from the Alexandria database describes Te2PbBr after structural relaxation. The functional is PBE.

Computed properties:
Space-group type ... Fm-3m (225)
ΔE to the lowest computed polymorph ... 518 meV/atom

Lattice parameters (Å, degrees): 5.509 5.509 5.509 60.00 60.00 60.00
Element x y z (fractional)
Te: 0.750 0.750 0.750
Br: 0.000 0.000 0.000
Pb: 0.500 0.500 0.500
Te: 0.250 0.250 0.250

Entry 14:
This record from the Alexandria database describes Te2PbBr after structural relaxation. The functional is PBE.

Computed properties:
Space-group type ... Imm2 (44)
ΔE to the lowest computed polymorph ... 300 meV/atom

Lattice parameters (Å, degrees): 6.399 6.399 6.399 145.42 115.74 75.07
Element x y z (fractional)
Pb: 0.263 0.763 0.500
Br: 0.487 0.487 0.000
Te: 0.984 0.984 0.000
Te: 0.766 0.266 0.500

Entry 15:
This record from the Alexandria database describes TePb2Br2 after structural relaxation. The functional is PBE.

Computed properties:
Space-group type ... I4/mmm (139)
ΔE to the lowest computed polymorph ... 279 meV/atom

Lattice parameters (Å, degrees): 4.734 4.734 8.072 72.95 72.95 90.00
Element x y z (fractional)
Pb: 0.383 0.383 0.234
Br: 0.750 0.250 0.500
Te: 0.000 0.000 0.000
Pb: 0.617 0.617 0.766
Br: 0.250 0.750 0.500

Entry 16:
This record from the Alexandria database describes TePbBr after structural relaxation. The functional is PBE.

Computed properties:
Space-group type ... C2/m (12)
ΔE to the lowest computed polymorph ... 0 meV/atom

Lattice parameters (Å, degrees): 5.228 5.228 9.283 97.47 101.95 113.68
Element x y z (fractional)
Te: 0.220 0.234 0.454
Te: 0.780 0.766 0.546
Br: 0.625 0.237 0.862
Pb: 0.811 0.428 0.239
Pb: 0.189 0.572 0.761
Br: 0.375 0.763 0.138

Entry 17:
This record from the Alexandria database describes Te2Pb2Br after structural relaxation. The functional is PBE.

Computed properties:
Space-group type ... I4/mmm (139)
ΔE to the lowest computed polymorph ... 59 meV/atom

Lattice parameters (Å, degrees): 5.006 5.006 8.191 72.21 72.21 90.00
Element x y z (fractional)
Te: 0.750 0.250 0.500
Pb: 0.380 0.380 0.240
Pb: 0.620 0.620 0.760
Br: 0.000 0.000 0.000
Te: 0.250 0.750 0.500

Entry 18:
This record from the Alexandria database describes TePb2Br after structural relaxation. The functional is PBE.

Computed properties:
Space-group type ... Amm2 (38)
ΔE to the lowest computed polymorph ... 41 meV/atom

Lattice parameters (Å, degrees): 6.958 6.958 4.284 90.00 90.00 40.46
Element x y z (fractional)
Br: 0.239 0.239 0.125
Te: 0.520 0.520 0.625
Pb: 0.756 0.756 0.625
Pb: 0.985 0.985 0.125

Entry 19:
This record from the Alexandria database describes TePbBr after structural relaxation. The functional is PBE.

Computed properties:
Space-group type ... I4mm (107)
ΔE to the lowest computed polymorph ... 171 meV/atom

Lattice parameters (Å, degrees): 8.246 8.247 8.247 154.31 154.31 36.64
Element x y z (fractional)
Te: 0.698 0.698 0.000
Pb: 0.343 0.343 0.000
Br: 0.959 0.959 0.000

Entry 20:
This record from the Alexandria database describes TePbBr2 after structural relaxation. The functional is PBE.

Computed properties:
Space-group type ... Pmmm (47)
ΔE to the lowest computed polymorph ... 144 meV/atom

Lattice parameters (Å, degrees): 3.977 6.134 4.868 90.00 90.00 90.00
Element x y z (fractional)
Te: 0.000 0.500 0.500
Br: 0.500 0.500 0.000
Pb: 0.500 0.000 0.500
Br: 0.000 0.000 0.000

Number 1: formation energy without anion corrections -0.321 eV/atom. Number 2: formation energy without anion corrections -0.363 eV/atom. Number 3: formation energy without anion corrections 0.380 eV/atom. Number 4: formation energy without anion corrections -0.017 eV/atom. Number 5: formation energy without anion corrections -0.044 eV/atom. Number 6: formation energy without anion corrections -0.209 eV/atom. Number 7: formation energy without anion corrections -0.369 eV/atom. Number 8: formation energy without anion corrections -0.201 eV/atom. Number 9: formation energy without anion corrections -0.249 eV/atom. Number 10: formation energy without anion corrections -0.387 eV/atom. Number 11: formation energy without anion corrections -0.403 eV/atom. Number 12: formation energy without anion corrections -0.388 eV/atom. Number 13: formation energy without anion corrections 0.139 eV/atom. Number 14: formation energy without anion corrections -0.079 eV/atom. Number 15: formation energy without anion corrections -0.419 eV/atom. Number 16: formation energy without anion corrections -0.489 eV/atom. Number 17: formation energy without anion corrections -0.292 eV/atom. Number 18: formation energy without anion corrections -0.366 eV/atom. Number 19: formation energy without anion corrections -0.317 eV/atom. Number 20: formation energy without anion corrections -0.250 eV/atom.